A plane-wave DFT calculation with GGA-PBE was carried out for a relaxed structure of PmY6Th.

Values from the calculation:
For the energy above the lowest structure with this stoichiometry, the calculation gives 0.000 eV per formula unit. As for the energy of formation from the pure elements: 0.03 eV/atom. The total energy comes out at -50.70 eV per cell. The density of states at the Fermi level is 12.54 states/eV/cell.

```
8
Lattice="-2.831 4.088 0.976 -2.444 -2.558 3.628 6.837 3.112 6.800" Properties=species:S:1:pos:R:3 pbc="T T T"
Pm 0.000 0.000 0.000
Y -2.637 0.765 2.302
Y 0.781 2.321 5.701
Y 0.320 2.834 2.214
Y 3.686 4.366 5.562
Y 0.514 -0.489 3.540
Y 3.880 1.043 6.887
Th 3.418 1.556 3.400
```

=====

A plane-wave DFT calculation with GGA-PBE was carried out for a relaxed structure of Pm2Y3Th.

Values from the calculation:
As for the energy of formation from the pure elements: 0.11 eV/atom. The total energy comes out at -71.31 eV per cell. The density of states at the Fermi level is 19.16 states/eV/cell.

```
12
Lattice="6.634 0.222 1.048 -1.815 8.778 1.455 -0.420 -0.222 6.703" Properties=species:S:1:pos:R:3 pbc="T T T"
Pm 4.412 5.519 6.015
Pm 2.211 1.130 1.409
Pm 2.188 7.649 7.798
Pm -0.013 3.259 3.192
Y 3.118 2.195 4.819
Y 1.281 6.584 4.387
Y -1.040 8.607 6.142
Y 3.499 4.560 2.504
Y 0.900 4.218 6.702
Y 5.439 0.171 3.064
Th -0.759 6.584 1.842
Th 5.158 2.195 7.364
```

=====

A plane-wave DFT calculation with GGA-PBE was carried out for a relaxed structure of PmY4Th5.

Values from the calculation:
As for the energy of formation from the pure elements: 0.04 eV/atom. The total energy comes out at -67.33 eV per cell. The density of states at the Fermi level is 14.01 states/eV/cell.

```
10
Lattice="-2.702 -0.790 2.237 2.644 -6.569 0.875 7.552 6.177 8.413" Properties=species:S:1:pos:R:3 pbc="T T T"
Pm -1.351 -0.395 1.118
Y 6.083 -2.436 6.488
Y 5.433 -0.323 9.338
Y 1.411 1.255 5.037
Y 2.061 -0.858 2.187
Th 2.718 -2.034 5.455
Th 4.154 2.855 8.916
Th 3.340 -4.036 2.610
Th -0.029 -3.679 1.556
Th 4.776 0.854 6.070
```

=====

A plane-wave DFT calculation with GGA-PBE was carried out for a relaxed structure of Pm15Y4Th.

Values from the calculation:
As for the energy of formation from the pure elements: 0.02 eV/atom. The total energy comes out at -104.07 eV per cell. The density of states at the Fermi level is 28.94 states/eV/cell.

```
20
Lattice="-0.344 4.046 3.157 -4.131 -2.095 2.235 15.183 -11.901 16.908" Properties=species:S:1:pos:R:3 pbc="T T T"
Pm -2.238 0.975 2.696
Pm 0.825 -1.425 6.106
Pm 3.841 -3.789 9.465
Pm 6.867 -6.161 12.834
Pm 9.883 -8.525 16.193
Pm 1.323 0.851 3.243
Pm 4.381 -1.546 6.648
Pm 7.419 -3.927 10.032
Pm 10.458 -6.309 13.416
Pm 13.516 -8.706 16.821
Pm -0.570 -2.220 2.783
Pm 2.487 -4.616 6.188
Pm 5.526 -6.998 9.571
Pm 8.565 -9.380 12.955
Pm 11.622 -11.776 16.360
Y 3.039 -2.382 3.384
Y 6.074 -4.761 6.764
Y 9.109 -7.139 10.143
Y 12.144 -9.519 13.524
Th 0.000 0.000 0.000
```

=====

A plane-wave DFT calculation with GGA-PBE was carried out for a relaxed structure of PmY3Th3.

Values from the calculation:
As for the energy of formation from the pure elements: 0.06 eV/atom. The total energy comes out at -91.90 eV per cell. The density of states at the Fermi level is 23.72 states/eV/cell.

```
14
Lattice="5.854 0.000 0.000 0.000 8.273 -4.777 0.000 0.000 9.553" Properties=species:S:1:pos:R:3 pbc="T T T"
Pm 1.464 2.758 4.777
Pm 4.391 5.516 0.000
Y 4.391 6.655 3.428
Y 4.391 7.915 -2.701
Y 1.464 6.297 5.504
Y 4.391 1.977 -0.727
Y 1.464 0.358 7.478
Y 1.464 1.618 1.348
Th 4.391 4.246 6.127
Th 4.391 3.183 2.813
Th 1.464 7.429 -0.614
Th 4.391 0.844 5.390
Th 1.464 5.090 1.964
Th 1.464 4.027 -1.350
```

=====

A plane-wave DFT calculation with GGA-PBE was carried out for a relaxed structure of Pm7Y2Th2.

Values from the calculation:
For the energy above the lowest structure with this stoichiometry, the calculation gives 0.000 eV per formula unit. As for the energy of formation from the pure elements: 0.17 eV/atom. The total energy comes out at -59.13 eV per cell. The density of states at the Fermi level is 16.22 states/eV/cell.

```
11
Lattice="-2.054 2.998 -4.975 -7.540 2.340 1.833 2.617 7.626 0.825" Properties=species:S:1:pos:R:3 pbc="T T T"
Pm 0.772 5.127 -0.254
Pm -2.338 10.654 -2.600
Pm -7.749 7.838 -2.063
Pm -4.640 2.310 0.283
Pm 0.000 0.000 0.000
Pm -4.975 9.385 -0.909
Pm -2.003 3.579 -1.408
Y -0.652 7.959 -1.440
Y -6.326 5.005 -0.877
Th -3.748 6.653 -2.875
Th -3.229 6.311 0.558
```

=====

A plane-wave DFT calculation with GGA-PBE was carried out for a relaxed structure of Pm3Y3Th.

Values from the calculation:
For the energy above the lowest structure with this stoichiometry, the calculation gives 1.503 eV per formula unit. As for the energy of formation from the pure elements: 0.25 eV/atom. The total energy comes out at -78.61 eV per cell. The density of states at the Fermi level is 23.26 states/eV/cell.

```
14
Lattice="8.057 0.749 3.681 2.657 7.643 3.681 0.956 0.749 8.806" Properties=species:S:1:pos:R:3 pbc="T T T"
Pm 7.328 4.904 5.337
Pm 3.013 5.940 7.866
Pm 5.422 1.503 8.636
Pm 6.248 7.638 7.532
Pm 8.657 3.201 8.302
Pm 4.342 4.237 10.831
Y 7.085 2.580 11.530
Y 4.592 7.841 10.356
Y 9.620 6.261 7.619
Y 2.050 2.880 8.549
Y 7.078 1.300 5.812
Y 4.585 6.561 4.637
Th 4.018 3.148 5.567
Th 7.651 5.993 10.601
```

=====

A plane-wave DFT calculation with GGA-PBE was carried out for a relaxed structure of Pm5Y2Th4.

Values from the calculation:
As for the energy of formation from the pure elements: 0.12 eV/atom. The total energy comes out at -65.02 eV per cell. The density of states at the Fermi level is 15.92 states/eV/cell.

```
11
Lattice="-3.005 -4.741 4.067 2.888 -4.886 6.662 -2.468 3.672 7.925" Properties=species:S:1:pos:R:3 pbc="T T T"
Pm -3.389 -0.467 10.352
Pm 0.803 -5.489 8.302
Pm -1.234 1.836 3.963
Pm -0.926 -1.232 12.733
Pm -1.660 -4.724 5.921
Y -2.256 0.920 7.262
Y -0.329 -6.875 11.393
Th -0.723 -2.041 8.026
Th -1.862 -3.915 10.628
Th -2.924 -4.229 14.013
Th 0.339 -1.727 4.641
```